# Zr2SeNCl

Crystalline Zr2SeNCl at its relaxed geometry (GGA-PBE, the Alexandria database).

abc: 5.089 5.089 3.950
angles: 90.00 90.00 90.00
Element x y z (fractional)
1 Zr 0.000 0.500 0.000
2 Zr 0.500 0.000 0.000
3 Se 0.000 0.000 0.000
4 N 0.000 0.000 0.500
5 Cl 0.500 0.500 0.500

Results
ΔE_f (raw), meV per atom: 525.2